1.
Below is a geometry-optimized CrCd2CuGe structure, with properties calculated at the PBE level.

Geometry as CIF:
```
data_CrCd2CuGe
_chemical_formula_sum 'Cr1 Cd2 Cu1 Ge1'
_cell_length_a 5.110
_cell_length_b 5.110
_cell_length_c 4.841
_cell_angle_alpha 90.00
_cell_angle_beta 90.00
_cell_angle_gamma 90.00
_space_group_name_H-M_alt 'P 4/m m m'
_space_group_IT_number 123
_space_group_name_Hall '-P 4 2'
loop_
_atom_site_label
_atom_site_fract_x
_atom_site_fract_y
_atom_site_fract_z
_atom_site_occupancy
Cr1 0.000 0.000 0.000 1
Cd1 0.000 0.500 0.500 1
Cu1 0.500 0.500 0.000 1
Ge1 0.000 0.000 0.500 1
```

Output
Energy relative to the elements ... 828 meV/atom
Raw total energy ... -3.21 eV per atom



2.
Below is a geometry-optimized CrCdCu2H structure, with properties calculated at the PBE level.

Geometry as CIF:
```
data_CrCdCu2H
_chemical_formula_sum 'Cr1 Cd1 Cu2 H1'
_cell_length_a 4.841
_cell_length_b 4.841
_cell_length_c 5.262
_cell_angle_alpha 90.00
_cell_angle_beta 90.00
_cell_angle_gamma 90.00
_space_group_name_H-M_alt 'P 4/m m m'
_space_group_IT_number 123
_space_group_name_Hall '-P 4 2'
loop_
_atom_site_label
_atom_site_fract_x
_atom_site_fract_y
_atom_site_fract_z
_atom_site_occupancy
Cr1 0.000 0.000 0.000 1
Cd1 0.000 0.000 0.500 1
Cu1 0.000 0.500 0.500 1
H1 0.500 0.500 0.000 1
```

Output
Raw total energy ... -2.87 eV per atom